No. 1
This record from Alexandria via LeMat-Bulk describes a geometry-optimized LiTa2As structure. The functional is PBE.

The structure in POSCAR format:
```
LiTa2As
1.0
3.4147 0.0000 0.0000
0.0000 3.6752 0.0000
-1.6972 0.0000 4.8995
Li Ta As
1 2 1
Cartesian
0.0000 0.0000 0.0000
0.0133 0.0000 2.5934
1.7097 1.8376 0.8551
1.7187 1.8376 3.5758
```

Values from the calculation:
* E_form: -3.29 kcal/mol of atoms
* total moment: 0.000 μB per atom
* DOS(E_F): 0.308 states/eV per atom
* crystal system: monoclinic


No. 2
This record from Alexandria via LeMat-Bulk describes a geometry-optimized PmGd2Zr structure. The functional is PBE.

The structure in POSCAR format:
```
PmGd2Zr
1.0
1.6953 0.9788 12.1230
-1.6953 0.9788 12.1230
0.0000 -1.9576 12.1230
Pm Gd Zr
1 2 1
Cartesian
0.0000 0.0000 0.0000
0.0000 0.0000 15.0912
0.0000 0.0000 21.2777
0.0000 0.0000 18.1845
```

Values from the calculation:
* E_form: 7.28 kcal/mol of atoms
* total moment: 3.718 μB per atom
* DOS(E_F): 1.414 states/eV per atom
* crystal system: trigonal


No. 3
This record from Alexandria via LeMat-Bulk describes a geometry-optimized CsPuSe structure. The functional is PBE.

The structure in POSCAR format:
```
CsPuSe
1.0
4.5608 0.0000 0.0000
0.0000 4.5639 0.0000
-0.5498 0.0000 12.8648
Cs Pu Se
2 2 2
Cartesian
0.8663 1.1410 2.5617
3.1448 3.4229 10.3031
0.8654 3.4229 6.4333
3.1457 1.1410 6.4315
0.8660 1.1410 8.4396
3.1451 3.4229 4.4252
```

Values from the calculation:
* raw formation energy: -0.85 eV per atom
* total moment: 2.247 μB per atom
* DOS(E_F): 2.038 states/eV per atom
* crystal system: monoclinic


No. 4
This record from Alexandria via LeMat-Bulk describes a geometry-optimized Y2TcIrI structure. The functional is PBE.

The structure in POSCAR format:
```
Y2TcIrI
1.0
5.5460 0.0000 0.0000
0.0000 5.5460 0.0000
0.0000 0.0000 4.7003
Y Tc Ir I
2 1 1 1
Cartesian
0.0000 2.7730 0.0000
2.7730 0.0000 0.0000
0.0000 0.0000 2.3501
0.0000 0.0000 0.0000
2.7730 2.7730 2.3501
```

Values from the calculation:
* raw formation energy: 0.05 eV per atom
* total moment: 0.238 μB per atom
* DOS(E_F): 0.594 states/eV per atom
* crystal system: tetragonal


No. 5
This record from Alexandria via LeMat-Bulk describes a geometry-optimized La3GeSe2 structure. The functional is PBE.

The structure in POSCAR format:
```
La3GeSe2
1.0
-2.1926 3.0780 6.5326
2.1926 -3.0780 6.5326
2.1926 3.0780 -6.5326
La Ge Se
3 1 2
Cartesian
0.0000 0.0000 0.0000
0.0000 0.0000 4.4117
0.0000 0.0000 8.6536
0.0000 3.0780 0.0000
2.1926 0.0000 2.1824
0.0000 3.0780 4.3502
```

Values from the calculation:
* raw formation energy: -1.68 eV per atom
* total moment: 0.000 μB per atom
* DOS(E_F): 0.416 states/eV per atom
* crystal system: orthorhombic


No. 6
This record from Alexandria via LeMat-Bulk describes a geometry-optimized K3LiZn2H8 structure. The functional is PBE.

The structure in POSCAR format:
```
K3LiZn2H8
1.0
5.5998 0.0000 0.0000
-2.7999 4.8496 0.0000
0.0000 0.0000 7.3982
K Li Zn H
3 1 2 8
Cartesian
0.0000 0.0000 0.0000
0.0000 3.2330 4.9880
2.7999 1.6165 2.4101
0.0000 0.0000 3.6991
0.0000 3.2330 1.7943
2.7999 1.6165 5.6039
0.0000 1.6771 2.4444
-1.3475 4.0110 2.4444
0.0000 3.2330 0.1780
1.4524 0.8385 4.9538
1.3475 4.0110 2.4444
2.7999 1.6165 7.2201
4.1474 0.8385 4.9538
2.7999 3.1725 4.9538
```

Values from the calculation:
* total energy: -38.0 eV per formula unit
* total moment: 0.000 μB per atom
* DOS(E_F): 0.000 states/eV per atom
* crystal system: trigonal


No. 7
This record from Alexandria via LeMat-Bulk describes a geometry-optimized La4PW structure. The functional is PBE.

The structure in POSCAR format:
```
La4PW
1.0
0.0000 4.3597 4.3597
4.3597 0.0000 4.3597
4.3597 4.3597 0.0000
La P W
4 1 1
Cartesian
3.2763 3.2763 3.2763
5.4431 5.4431 3.2763
5.4431 3.2763 5.4431
3.2763 5.4431 5.4431
0.0000 0.0000 0.0000
6.5395 6.5395 6.5395
```

Values from the calculation:
* E_form: 20.70 kcal/mol of atoms
* total moment: 0.000 μB per atom
* DOS(E_F): 1.112 states/eV per atom
* crystal system: cubic


No. 8
This record from Alexandria via LeMat-Bulk describes a geometry-optimized TbPaH structure. The functional is PBE.

The structure in POSCAR format:
```
TbPaH
1.0
6.5636 0.0000 0.0000
0.0000 5.5878 0.0000
0.0000 0.0000 6.5623
Tb Pa H
4 4 4
Cartesian
0.7900 1.3969 0.0203
2.4918 4.1908 3.3015
4.0718 1.3969 3.2608
5.7736 4.1908 6.5420
0.6866 1.3969 3.2613
2.5952 4.1908 6.5424
3.9684 1.3969 0.0199
5.8770 4.1908 3.3011
0.9064 4.1908 4.9428
2.3754 1.3969 1.6617
4.1882 4.1908 4.9007
5.6572 1.3969 1.6195
```

Values from the calculation:
* total energy: -16.5 eV per formula unit
* total moment: 0.048 μB per atom
* DOS(E_F): 1.495 states/eV per atom
* crystal system: orthorhombic